DFT (PBE with a Hubbard U) results for a relaxed structure of NpVGaO6.

Unit cell a=5.2001 b=5.2001 c=9.0231 alpha=90.00 beta=90.00 gamma=120.00
Closest atoms and distances in Å follow each position.
Fractional coordinates of all 18 atoms:
Np (0.3333, 0.6667, 0.2500)  6 O 2.08
Np (0.6667, 0.3333, 0.7500)  6 O 2.08
V (0.0000, 0.0000, 0.0000)  6 O 2.08
V (0.0000, 0.0000, 0.5000)  6 O 2.08
Ga (0.6667, 0.3333, 0.2500)  6 O 2.03
Ga (0.3333, 0.6667, 0.7500)  6 O 2.03
O (0.6732, 0.6642, 0.1286)  1 Ga 2.03, 1 V 2.08, 1 Np 2.08
O (0.9910, 0.3268, 0.1286)  1 Ga 2.03, 1 V 2.08, 1 Np 2.08
O (0.3268, 0.9910, 0.6286)  1 Ga 2.03, 1 V 2.08, 1 Np 2.08
O (0.0090, 0.6732, 0.8714)  1 Ga 2.03, 1 V 2.08, 1 Np 2.08
O (0.3358, 0.3268, 0.3714)  1 Ga 2.03, 1 V 2.08, 1 Np 2.08
O (0.9910, 0.6642, 0.3714)  1 Ga 2.03, 1 V 2.08, 1 Np 2.08
O (0.6642, 0.9910, 0.8714)  1 Ga 2.03, 1 V 2.08, 1 Np 2.08
O (0.6732, 0.0090, 0.3714)  1 Ga 2.03, 1 V 2.08, 1 Np 2.08
O (0.0090, 0.3358, 0.6286)  1 Ga 2.03, 1 V 2.08, 1 Np 2.08
O (0.3358, 0.0090, 0.1286)  1 Ga 2.03, 1 V 2.08, 1 Np 2.08
O (0.6642, 0.6732, 0.6286)  1 Ga 2.03, 1 V 2.08, 1 Np 2.08
O (0.3268, 0.3358, 0.8714)  1 Ga 2.03, 1 V 2.08, 1 Np 2.08

* raw total energy: -8.103 eV per atom